18
Lattice="7.7914 0.1542 0.0000 -2.4095 6.6323 0.0000 0.0000 0.0000 7.0049" Properties=species:S:1:pos:R:3 comment="PBE Ho2Sc3Cu4, relaxed" ef_ev_per_atom=-0.203 dos_ef_per_ev_atom=0.97 density_g_cm3=6.549 magmom_total_mub_per_atom=0.00 pbc="T T T"
Cu -1.3039 6.0251 3.1709
Sc 4.0172 5.1396 2.4194
Ho 4.1092 1.3748 2.3349
Sc 1.3648 1.6469 4.5855
Cu 1.7529 3.4647 2.6055
Cu -0.2666 3.2446 6.1079
Ho 1.2727 5.4117 4.6700
Ho 5.1685 5.4888 5.8373
Sc 5.2605 1.7240 5.9218
Sc 0.1214 5.0625 1.0830
Cu 3.6291 3.3217 4.3994
Cu 2.7901 0.6842 6.6734
Cu 2.5919 6.1022 0.3315
Cu 6.6858 0.7613 3.8340
Cu 5.6486 3.5418 0.8969
Sc -1.2047 3.3161 3.5024
Ho 0.2135 1.2977 1.1676
Sc 2.6910 3.3932 0.0000